## SrSc2Ag (PBE-GGA)

Data for a geometry-optimized SrSc2Ag structure. Values from VASP.

Structure (Quantum ESPRESSO input):
```
&SYSTEM
  ibrav = 0, nat = 4, ntyp = 3
/
ATOMIC_SPECIES
Ag 107.87 Ag.upf
Sc 44.96 Sc.upf
Sr 87.62 Sr.upf
CELL_PARAMETERS angstrom
-1.3746 0.3012 3.5511
3.4457 -3.5036 1.6310
3.5170 3.9372 1.0275
ATOMIC_POSITIONS crystal
Ag 0.0000 0.5000 0.5000
Sc 0.0000 0.0000 0.0000
Sc 0.5000 0.5000 0.0000
Sr 0.5000 0.0000 0.5000
```

Results
Total moment   0.00 Bohr magnetons per cell
ρ   4.5 g/cm3
D(E_F)   1.0676 states/eV per atom
ΔE_f   0.168 eV/atom
Offset from the most stable computed form   0.172 eV/atom